The following is a PBE-GGA calculation of a relaxed PuBN2 crystal, from the Alexandria database.

Computed properties:
For the raw total energy, the calculation gives -166.864 eV for the cell shown. The total magnetization comes out at 20.0 μB per cell.

Cell: 5.624 6.570 5.304 Å, 90.00 102.95 90.00°
Space group P2_1/c (No. 14)
One atom of each set of equivalent atoms:
Pu: 0.173 0.076 0.296 x4
B: 0.369 0.743 0.584 x4
N: 0.102 0.743 0.522 x4
N: 0.497 0.237 0.633 x4